# 1
# PBE FeRu2Br, optimized geometry
data_FeRu2Br
_chemical_formula_sum 'Fe2 Ru4 Br2'
_space_group_name_H-M_alt 'C m m 2'
_space_group_IT_number 35
_space_group_name_Hall 'C 2 -2'
_cell_length_a 2.902
_cell_length_b 4.916
_cell_length_c 8.870
_cell_angle_alpha 90.00
_cell_angle_beta 90.00
_cell_angle_gamma 90.00
loop_
_atom_site_label
_atom_site_type_symbol
_atom_site_fract_x
_atom_site_fract_y
_atom_site_fract_z
Fe1 Fe 0.000 0.000 0.000
Ru1 Ru 0.000 0.000 0.473
Ru2 Ru 0.000 0.500 0.232
Br1 Br 0.000 0.500 0.754
# E above lowest polymorph = 269 meV per atom
# theoretical density = 8.9 g cm⁻³
# raw formation energy = 0.795 eV/atom

=====

# 2
# PBE Fe2RuBr, optimized geometry
data_Fe2RuBr
_chemical_formula_sum 'Fe8 Ru4 Br4'
_space_group_name_H-M_alt 'F -4 3 m'
_space_group_IT_number 216
_space_group_name_Hall 'F -4 2 3'
_cell_length_a 6.125
_cell_length_b 6.125
_cell_length_c 6.125
_cell_angle_alpha 90.00
_cell_angle_beta 90.00
_cell_angle_gamma 90.00
loop_
_atom_site_label
_atom_site_type_symbol
_atom_site_fract_x
_atom_site_fract_y
_atom_site_fract_z
Fe1 Fe 0.000 0.000 0.000
Fe2 Fe 0.250 0.250 0.250
Ru1 Ru 0.250 0.250 0.750
Br1 Br 0.000 0.000 0.500
# E above lowest polymorph = 448 meV per atom
# theoretical density = 8.5 g cm⁻³
# raw formation energy = 0.874 eV/atom

=====

# 3
# PBE Fe2RuBr8, optimized geometry
data_Fe2RuBr8
_chemical_formula_sum 'Fe4 Ru2 Br16'
_space_group_name_H-M_alt 'C 1 2/m 1'
_space_group_IT_number 12
_space_group_name_Hall '-C 2y'
_cell_length_a 12.485
_cell_length_b 9.898
_cell_length_c 6.202
_cell_angle_alpha 90.00
_cell_angle_beta 91.73
_cell_angle_gamma 90.00
loop_
_atom_site_label
_atom_site_type_symbol
_atom_site_fract_x
_atom_site_fract_y
_atom_site_fract_z
Fe1 Fe 0.175 0.000 0.132
Ru1 Ru 0.000 0.000 0.500
Br1 Br 0.082 0.189 0.279
Br2 Br 0.144 0.500 0.793
Br3 Br 0.168 0.000 0.741
# theoretical density = 3.7 g cm⁻³
# raw formation energy = -0.397 eV/atom

=====

Calculated density of states at the Fermi level (states/eV/cell), listed in the same order as above: 9.9, 20.9, 3.7